Entry 1:
# CsRbS14 (GGA-PBE, relaxed)
# - E (eV per cell) = -125.949
# - calculated volume (Å³/atom) = 33.0
data_CsRbS14
_chemical_formula_sum 'Cs2 Rb2 S28'
_cell_length_a 12.1819
_cell_length_b 11.5889
_cell_length_c 11.5889
_cell_angle_alpha 49.02
_cell_angle_beta 61.93
_cell_angle_gamma 61.93
_symmetry_space_group_name_H-M 'P 1'
_symmetry_Int_Tables_number 1
loop_
_symmetry_equiv_pos_as_xyz
'x,y,z'
loop_
_atom_site_label
_atom_site_fract_x
_atom_site_fract_y
_atom_site_fract_z
Cs1 0.2500 0.4037 0.0963
Cs2 0.7500 0.5963 0.9037
Rb1 0.5000 0.0000 0.5000
Rb2 0.0000 0.0000 0.5000
S1 0.6614 0.2799 0.3257
S2 0.3386 0.7201 0.6743
S3 0.1614 0.8257 0.7799
S4 0.8386 0.1743 0.2201
S5 0.1633 0.2089 0.5011
S6 0.8367 0.7911 0.4989
S7 0.6633 0.0011 0.7089
S8 0.3367 0.9989 0.2911
S9 0.1774 0.0287 0.7238
S10 0.8226 0.9713 0.2762
S11 0.6774 0.2238 0.5287
S12 0.3226 0.7762 0.4713
S13 0.8573 0.4637 0.3522
S14 0.5798 0.3214 0.8212
S15 0.3573 0.8522 0.9637
S16 0.0798 0.3212 0.8214
S17 0.1427 0.5363 0.6478
S18 0.4202 0.6786 0.1788
S19 0.6427 0.1478 0.0363
S20 0.9202 0.6788 0.1786
S21 0.3737 0.0612 0.8851
S22 0.1950 0.1796 0.9744
S23 0.8737 0.3851 0.5612
S24 0.6950 0.4744 0.6796
S25 0.6263 0.9388 0.1149
S26 0.8050 0.8204 0.0256
S27 0.1263 0.6149 0.4388
S28 0.3050 0.5256 0.3204

***

Entry 2:
# Cs12Rb7S (GGA-PBE, relaxed)
# - E (eV per cell) = -23.247
# - calculated volume (Å³/atom) = 106.5
data_Cs12Rb7S
_chemical_formula_sum 'Cs12 Rb7 S1'
_cell_length_a 11.9456
_cell_length_b 14.8902
_cell_length_c 14.8902
_cell_angle_alpha 113.12
_cell_angle_beta 105.51
_cell_angle_gamma 105.51
_symmetry_space_group_name_H-M 'P 1'
_symmetry_Int_Tables_number 1
loop_
_symmetry_equiv_pos_as_xyz
'x,y,z'
loop_
_atom_site_label
_atom_site_fract_x
_atom_site_fract_y
_atom_site_fract_z
Cs1 0.1026 0.6017 0.2042
Cs2 0.1016 0.2042 0.6025
Cs3 0.4502 0.6470 0.0000
Cs4 0.5498 0.0000 0.3530
Cs5 0.4991 0.3975 0.6017
Cs6 0.1969 0.6470 0.6470
Cs7 0.8031 0.3530 0.3530
Cs8 0.5009 0.6025 0.3983
Cs9 0.4502 0.0000 0.6470
Cs10 0.5498 0.3530 0.0000
Cs11 0.8984 0.7958 0.3975
Cs12 0.8974 0.3983 0.7958
Rb1 0.0897 0.8142 0.0004
Rb2 0.9107 0.0004 0.1862
Rb3 0.7246 0.8138 0.8142
Rb4 0.5000 0.0000 0.0000
Rb5 0.2754 0.1862 0.1858
Rb6 0.0893 0.9996 0.8138
Rb7 0.9103 0.1858 0.9996
S1 0.0000 0.0000 0.0000

***

Entry 3:
# Cs4Rb2S (GGA-PBE, relaxed)
# - E (eV per cell) = -12.316
# - calculated volume (Å³/atom) = 86.9
data_Cs4Rb2S
_chemical_formula_sum 'Cs4 Rb2 S1'
_cell_length_a 5.2812
_cell_length_b 12.0567
_cell_length_c 13.4300
_cell_angle_alpha 132.41
_cell_angle_beta 101.34
_cell_angle_gamma 90.00
_symmetry_space_group_name_H-M 'P 1'
_symmetry_Int_Tables_number 1
loop_
_symmetry_equiv_pos_as_xyz
'x,y,z'
loop_
_atom_site_label
_atom_site_fract_x
_atom_site_fract_y
_atom_site_fract_z
Cs1 0.1523 0.7283 0.3046
Cs2 0.8477 0.2717 0.6954
Cs3 0.4999 0.8186 0.9998
Cs4 0.5001 0.1814 0.0002
Rb1 0.1680 0.2535 0.3360
Rb2 0.8320 0.7465 0.6640
S1 0.0000 0.0000 0.0000

***

Entry 4:
# CsRb2S (GGA-PBE, relaxed)
# - E (eV per cell) = -18.792
# - calculated volume (Å³/atom) = 63.8
data_CsRb2S
_chemical_formula_sum 'Cs2 Rb4 S2'
_cell_length_a 12.1372
_cell_length_b 12.1372
_cell_length_c 9.2553
_cell_angle_alpha 49.03
_cell_angle_beta 49.03
_cell_angle_gamma 90.00
_symmetry_space_group_name_H-M 'P 1'
_symmetry_Int_Tables_number 1
loop_
_symmetry_equiv_pos_as_xyz
'x,y,z'
loop_
_atom_site_label
_atom_site_fract_x
_atom_site_fract_y
_atom_site_fract_z
Cs1 0.0000 0.0000 0.0000
Cs2 0.7500 0.2500 0.5000
S1 0.5000 0.5000 0.0000
S2 0.2500 0.7500 0.5000
Rb1 0.4537 0.1250 0.2500
Rb2 0.2963 0.6250 0.2500
Rb3 0.3750 0.5463 0.7500
Rb4 0.8750 0.7037 0.7500

***

Entry 5:
# Cs8Rb6S (GGA-PBE, relaxed)
# - E (eV per cell) = -19.763
# - calculated volume (Å³/atom) = 95.0
data_Cs8Rb6S
_chemical_formula_sum 'Cs8 Rb6 S1'
_cell_length_a 11.7298
_cell_length_b 11.7298
_cell_length_c 11.7298
_cell_angle_alpha 72.37
_cell_angle_beta 72.37
_cell_angle_gamma 72.37
_symmetry_space_group_name_H-M 'P 1'
_symmetry_Int_Tables_number 1
loop_
_symmetry_equiv_pos_as_xyz
'x,y,z'
loop_
_atom_site_label
_atom_site_fract_x
_atom_site_fract_y
_atom_site_fract_z
Cs1 0.1021 0.7062 0.9671
Cs2 0.0329 0.8979 0.2938
Cs3 0.2938 0.0329 0.8979
Cs4 0.7397 0.7397 0.7397
Cs5 0.2603 0.2603 0.2603
Cs6 0.7062 0.9671 0.1021
Cs7 0.9671 0.1021 0.7062
Cs8 0.8979 0.2938 0.0329
Rb1 0.1827 0.4862 0.5971
Rb2 0.4029 0.8173 0.5138
Rb3 0.5138 0.4029 0.8173
Rb4 0.4862 0.5971 0.1827
Rb5 0.5971 0.1827 0.4862
Rb6 0.8173 0.5138 0.4029
S1 0.0000 0.0000 0.0000

***

Entry 6:
# CsRb2S (GGA-PBE, relaxed)
# - E (eV per cell) = -9.387
# - calculated volume (Å³/atom) = 77.8
data_CsRb2S
_chemical_formula_sum 'Cs1 Rb2 S1'
_cell_length_a 5.1792
_cell_length_b 5.1792
_cell_length_c 13.7227
_cell_angle_alpha 79.12
_cell_angle_beta 79.12
_cell_angle_gamma 60.00
_symmetry_space_group_name_H-M 'P 1'
_symmetry_Int_Tables_number 1
loop_
_symmetry_equiv_pos_as_xyz
'x,y,z'
loop_
_atom_site_label
_atom_site_fract_x
_atom_site_fract_y
_atom_site_fract_z
Cs1 0.0000 0.0000 0.0000
S1 0.5000 0.5000 0.5000
Rb1 0.1335 0.1335 0.5996
Rb2 0.8665 0.8665 0.4004

***

Entry 7:
# Cs4Rb4S (GGA-PBE, relaxed)
# - E (eV per cell) = -27.698
# - calculated volume (Å³/atom) = 81.3
data_Cs4Rb4S
_chemical_formula_sum 'Cs8 Rb8 S2'
_cell_length_a 9.5739
_cell_length_b 12.3641
_cell_length_c 12.3641
_cell_angle_alpha 90.00
_cell_angle_beta 90.00
_cell_angle_gamma 90.00
_symmetry_space_group_name_H-M 'P 1'
_symmetry_Int_Tables_number 1
loop_
_symmetry_equiv_pos_as_xyz
'x,y,z'
loop_
_atom_site_label
_atom_site_fract_x
_atom_site_fract_y
_atom_site_fract_z
Cs1 0.6123 0.7677 0.4505
Cs2 0.6123 0.2323 0.5495
Cs3 0.1123 0.9505 0.7323
Cs4 0.8877 0.2677 0.9505
Cs5 0.8877 0.7323 0.0495
Cs6 0.3877 0.4505 0.2323
Cs7 0.3877 0.5495 0.7677
Cs8 0.1123 0.0495 0.2677
Rb1 0.3089 0.1720 0.9508
Rb2 0.8089 0.5492 0.6720
Rb3 0.3089 0.8280 0.0492
Rb4 0.1911 0.3280 0.5492
Rb5 0.6911 0.9508 0.8280
Rb6 0.1911 0.6720 0.4508
Rb7 0.8089 0.4508 0.3280
Rb8 0.6911 0.0492 0.1720
S1 0.0000 0.0000 0.0000
S2 0.5000 0.5000 0.5000

***

Entry 8:
# Cs6Rb12S (GGA-PBE, relaxed)
# - E (eV per cell) = -23.759
# - calculated volume (Å³/atom) = 91.2
data_Cs6Rb12S
_chemical_formula_sum 'Cs6 Rb12 S1'
_cell_length_a 12.2353
_cell_length_b 12.2353
_cell_length_c 12.2353
_cell_angle_alpha 78.42
_cell_angle_beta 78.42
_cell_angle_gamma 78.42
_symmetry_space_group_name_H-M 'P 1'
_symmetry_Int_Tables_number 1
loop_
_symmetry_equiv_pos_as_xyz
'x,y,z'
loop_
_atom_site_label
_atom_site_fract_x
_atom_site_fract_y
_atom_site_fract_z
Cs1 0.1811 0.8713 0.1811
Cs2 0.1287 0.8189 0.8189
Cs3 0.8189 0.8189 0.1287
Cs4 0.8189 0.1287 0.8189
Cs5 0.8713 0.1811 0.1811
Cs6 0.1811 0.1811 0.8713
Rb1 0.5271 0.1939 0.5271
Rb2 0.1939 0.5271 0.5271
Rb3 0.5271 0.5271 0.1939
Rb4 0.4729 0.8061 0.4729
Rb5 0.8061 0.4729 0.4729
Rb6 0.4729 0.4729 0.8061
Rb7 0.4647 0.1429 0.1429
Rb8 0.8571 0.5353 0.8571
Rb9 0.8571 0.8571 0.5353
Rb10 0.5353 0.8571 0.8571
Rb11 0.1429 0.4647 0.1429
Rb12 0.1429 0.1429 0.4647
S1 0.0000 0.0000 0.0000

***

Entry 9:
# CsRb2S (GGA-PBE, relaxed)
# - E (eV per cell) = -9.571
# - calculated volume (Å³/atom) = 61.7
data_CsRb2S
_chemical_formula_sum 'Cs1 Rb2 S1'
_cell_length_a 5.4468
_cell_length_b 5.4468
_cell_length_c 10.1145
_cell_angle_alpha 74.38
_cell_angle_beta 74.38
_cell_angle_gamma 60.00
_symmetry_space_group_name_H-M 'P 1'
_symmetry_Int_Tables_number 1
loop_
_symmetry_equiv_pos_as_xyz
'x,y,z'
loop_
_atom_site_label
_atom_site_fract_x
_atom_site_fract_y
_atom_site_fract_z
Cs1 0.5258 0.5258 0.4227
Rb1 0.0355 0.0355 0.8936
Rb2 0.2892 0.2892 0.1324
S1 0.6496 0.6496 0.0513

***

Entry 10:
# CsRbSbS2 (GGA-PBE, relaxed)
# - E (eV per cell) = -35.036
# - calculated volume (Å³/atom) = 36.7
data_CsRbSbS2
_chemical_formula_sum 'Cs2 Rb2 Sb2 S4'
_cell_length_a 7.5994
_cell_length_b 10.0641
_cell_length_c 5.9546
_cell_angle_alpha 126.26
_cell_angle_beta 90.00
_cell_angle_gamma 90.00
_symmetry_space_group_name_H-M 'P 1'
_symmetry_Int_Tables_number 1
loop_
_symmetry_equiv_pos_as_xyz
'x,y,z'
loop_
_atom_site_label
_atom_site_fract_x
_atom_site_fract_y
_atom_site_fract_z
Cs1 0.1844 0.5000 0.7500
Cs2 0.8156 0.5000 0.2500
Rb1 0.4207 0.0000 0.2500
Rb2 0.5793 0.0000 0.7500
Sb1 0.0000 0.0000 0.0000
Sb2 0.0000 0.0000 0.5000
S1 0.7947 0.7771 0.0273
S2 0.7947 0.2229 0.4727
S3 0.2053 0.7771 0.5273
S4 0.2053 0.2229 0.9727